Version A
## Tl2HgAs2 (GGA-PBE)

Data for a relaxed structure of Tl2HgAs2.

Lattice parameters (Å, degrees): 4.984 9.813 6.067 35.54 77.23 91.55
Fractional coordinates of all 5 atoms:
Tl 0.589 0.339 0.909
Tl 0.411 0.661 0.091
Hg 0.000 0.000 0.000
As 0.047 0.831 0.604
As 0.953 0.169 0.396

Computed properties:
- density (Mg/m³) = 8.0
- size of the total moment (μB/f.u.) = 0.000

Version B
## Tl2HgAs2 (GGA-PBE)

Data for a relaxed structure of Tl2HgAs2.

Lattice parameters (Å, degrees): 3.910 3.910 10.036 78.77 78.77 90.00
Fractional coordinates of all 5 atoms:
As 0.750 0.250 0.500
As 0.250 0.750 0.500
Tl 0.379 0.379 0.242
Tl 0.621 0.621 0.758
Hg 0.000 0.000 0.000

Computed properties:
- density (Mg/m³) = 8.5
- size of the total moment (μB/f.u.) = 0.000

Version C
## Tl2HgAs2 (GGA-PBE)

Data for a relaxed structure of Tl2HgAs2.

Lattice parameters (Å, degrees): 7.186 7.186 5.330 90.00 90.00 90.00
Fractional coordinates of all 10 atoms:
As 0.378 0.878 0.000
As 0.878 0.622 0.000
As 0.622 0.122 0.000
As 0.122 0.378 0.000
Tl 0.177 0.677 0.500
Tl 0.677 0.823 0.500
Tl 0.823 0.323 0.500
Tl 0.323 0.177 0.500
Hg 0.000 0.000 0.000
Hg 0.500 0.500 0.000

Computed properties:
- density (Mg/m³) = 9.2
- size of the total moment (μB/f.u.) = 0.000

Stability ranking, top and bottom: version B is the most stable and version C is the least stable.

Version A
## Tl2HgAs2 (GGA-PBE)

Data for a relaxed structure of Tl2HgAs2.

Lattice parameters (Å, degrees): 9.267 9.267 3.772 90.00 90.00 90.00
Fractional coordinates of all 10 atoms:
As 0.088 0.588 0.500
As 0.588 0.912 0.500
As 0.912 0.412 0.500
As 0.412 0.088 0.500
Tl 0.321 0.821 0.000
Tl 0.821 0.679 0.000
Tl 0.679 0.179 0.000
Tl 0.179 0.321 0.000
Hg 0.000 0.000 0.000
Hg 0.500 0.500 0.000

Computed properties:
- density (Mg/m³) = 7.8
- size of the total moment (μB/f.u.) = 0.000

Version B
## Tl2HgAs2 (GGA-PBE)

Data for a relaxed structure of Tl2HgAs2.

Lattice parameters (Å, degrees): 5.643 5.643 6.129 62.59 62.59 90.00
Fractional coordinates of all 5 atoms:
As 0.372 0.372 0.256
As 0.628 0.628 0.744
Tl 0.750 0.250 0.500
Tl 0.250 0.750 0.500
Hg 0.000 0.000 0.000

Computed properties:
- density (Mg/m³) = 8.5
- size of the total moment (μB/f.u.) = 0.000

Stability ranking, top and bottom: version B is the most stable and version A is the least stable.

Version A
## Tl4Hg2As (GGA-PBE)

Data for a relaxed structure of Tl4Hg2As.

Lattice parameters (Å, degrees): 5.777 5.777 8.872 109.00 109.00 90.00
Fractional coordinates of all 7 atoms:
As 0.000 0.000 0.000
Tl 0.815 0.815 0.630
Tl 0.185 0.185 0.370
Tl 0.000 0.500 0.000
Tl 0.500 0.000 0.000
Hg 0.615 0.615 0.229
Hg 0.385 0.385 0.771

Computed properties:
- density (Mg/m³) = 8.2
- size of the total moment (μB/f.u.) = 0.000

Version B
## Tl4Hg2As (GGA-PBE)

Data for a relaxed structure of Tl4Hg2As.

Lattice parameters (Å, degrees): 4.213 5.540 9.661 98.43 90.00 90.00
Fractional coordinates of all 7 atoms:
As 0.000 0.071 0.000
Tl 0.500 0.743 0.880
Tl 0.000 0.260 0.728
Tl 0.500 0.400 0.120
Tl 0.000 0.883 0.272
Hg 0.500 0.831 0.568
Hg 0.500 0.312 0.432

Computed properties:
- density (Mg/m³) = 9.6
- size of the total moment (μB/f.u.) = 0.000

Stability ranking, top and bottom: version B is the most stable and version A is the least stable.

Version A
## Tl12Hg6As (GGA-PBE)

Data for a relaxed structure of Tl12Hg6As.

Lattice parameters (Å, degrees): 8.273 8.273 8.273 90.27 90.27 90.27
Fractional coordinates of all 19 atoms:
Tl 0.809 0.522 0.422
Tl 0.422 0.809 0.522
Tl 0.522 0.422 0.809
Tl 0.191 0.478 0.578
Tl 0.578 0.191 0.478
Tl 0.478 0.578 0.191
Tl 0.039 0.143 0.365
Tl 0.857 0.635 0.961
Tl 0.635 0.961 0.857
Tl 0.961 0.857 0.635
Tl 0.143 0.365 0.039
Tl 0.365 0.039 0.143
Hg 0.737 0.888 0.268
Hg 0.732 0.263 0.112
Hg 0.112 0.732 0.263
Hg 0.263 0.112 0.732
Hg 0.268 0.737 0.888
Hg 0.888 0.268 0.737
As 0.000 0.000 0.000

Computed properties:
- density (Mg/m³) = 10.9
- size of the total moment (μB/f.u.) = 0.000

Version B
## Tl12Hg6As (GGA-PBE)

Data for a relaxed structure of Tl12Hg6As.

Lattice parameters (Å, degrees): 9.328 9.328 9.328 111.76 111.76 111.76
Fractional coordinates of all 19 atoms:
Tl 0.350 0.185 0.444
Tl 0.185 0.444 0.350
Tl 0.444 0.350 0.185
Tl 0.650 0.815 0.556
Tl 0.815 0.556 0.650
Tl 0.556 0.650 0.815
Tl 0.129 0.063 0.719
Tl 0.281 0.871 0.937
Tl 0.937 0.281 0.871
Tl 0.871 0.937 0.281
Tl 0.719 0.129 0.063
Tl 0.063 0.719 0.129
Hg 0.086 0.390 0.628
Hg 0.610 0.372 0.914
Hg 0.372 0.914 0.610
Hg 0.914 0.610 0.372
Hg 0.390 0.628 0.086
Hg 0.628 0.086 0.390
As 0.000 0.000 0.000

Computed properties:
- density (Mg/m³) = 11.0
- size of the total moment (μB/f.u.) = 0.000

Stability ranking, top and bottom: version B is the most stable and version A is the least stable.